The following is a PBE with a Hubbard U calculation of Ni3RhO6 after structural relaxation, from Alexandria.

Properties
Fermi-level density of states: 3.60 states/eV/f.u.
relative energy among the computed polymorphs: 11 meV/atom

Lattice parameters (Å, degrees): 5.1076 5.2143 7.6051 90.00 89.46 90.00
With the nearest neighbours (Å) after each atom.
Atoms (fractional coordinates):
O 0.8598 0.9020 0.2330  1 Rh 1.97, 2 Ni 2.00-2.02
O 0.8337 0.6762 0.5376  3 Ni 1.91-2.13, 1 Rh 1.96
O 0.8180 0.6972 0.8935  1 Rh 2.01, 3 Ni 2.08-2.21
O 0.1663 0.3238 0.4624  3 Ni 1.91-2.13, 1 Rh 1.96
O 0.3598 0.5980 0.7330  1 Rh 1.97, 2 Ni 2.00-2.02
O 0.6663 0.1762 0.9624  3 Ni 1.91-2.13, 1 Rh 1.96
O 0.1820 0.3028 0.1065  1 Rh 2.01, 3 Ni 2.08-2.21
O 0.6402 0.4020 0.2670  1 Rh 1.97, 2 Ni 2.00-2.02
O 0.3180 0.8028 0.3935  1 Rh 2.01, 3 Ni 2.08-2.21
O 0.3337 0.8238 0.0376  3 Ni 1.91-2.13, 1 Rh 1.96
O 0.1402 0.0980 0.7670  1 Rh 1.97, 2 Ni 2.00-2.02
O 0.6820 0.1972 0.6065  1 Rh 2.01, 3 Ni 2.08-2.21
Ni 0.5000 0.5000 0.0000  4 O 1.91-2.08
Ni 0.0008 0.5553 0.2943  5 O 1.96-2.15
Ni 0.4992 0.0553 0.2057  5 O 1.96-2.15
Ni 0.5008 0.9447 0.7943  5 O 1.96-2.15
Ni 0.0000 0.0000 0.5000  4 O 1.91-2.08
Ni 0.9992 0.4447 0.7057  5 O 1.96-2.15
Rh 0.0000 0.0000 0.0000  6 O 1.96-2.01
Rh 0.5000 0.5000 0.5000  6 O 1.96-2.01